Record 1
Here is Sc2Mn5BeB2 after structural relaxation from Alexandria. Energies are from PBE-GGA.

extended XYZ file:
```
20
Lattice="8.8509 0.0000 0.0000 0.0000 8.8509 0.0000 0.0000 0.0000 2.9809" Properties=species:S:1:pos:R:3 pbc="T T T"
Sc 1.5256 2.8999 0.0000
Sc 2.8999 7.3253 0.0000
Sc 5.9510 1.5256 0.0000
Sc 7.3253 5.9510 0.0000
Mn 0.0000 4.4254 1.4905
Mn 0.5933 7.0044 1.4905
Mn 1.8464 0.5933 1.4905
Mn 2.5790 5.0188 1.4905
Mn 3.8321 2.5790 1.4905
Mn 4.4254 0.0000 1.4905
Mn 5.0188 6.2719 1.4905
Mn 6.2719 3.8321 1.4905
Mn 7.0044 8.2575 1.4905
Mn 8.2575 1.8464 1.4905
Be 0.0000 0.0000 0.0000
Be 4.4254 4.4254 0.0000
B 1.0879 5.5134 0.0000
B 3.3375 1.0879 0.0000
B 5.5134 7.7629 0.0000
B 7.7629 3.3375 0.0000
```

total magnetic moment = 9.4 μB/f.u.
final energy = -155.691 eV per cell

Record 2
Here is CrCu2 after structural relaxation from Alexandria. Energies are from PBE-GGA.

extended XYZ file:
```
12
Lattice="9.7565 0.0000 0.0000 0.0000 2.4208 0.0000 -1.4625 0.0000 6.0535" Properties=species:S:1:pos:R:3 pbc="T T T"
Cr 1.7677 0.0000 0.8486
Cr 1.6481 1.2104 5.2050
Cr 6.6459 1.2104 0.8486
Cr 6.5263 0.0000 5.2050
Cu -0.9306 1.2104 4.9181
Cu 0.5663 0.0000 3.1623
Cu 2.8494 1.2104 2.8913
Cu 4.3463 0.0000 1.1354
Cu 3.9477 0.0000 4.9181
Cu 5.4446 1.2104 3.1623
Cu 7.7277 0.0000 2.8913
Cu 9.2246 1.2104 1.1354
```

total magnetic moment = 0.0 μB/f.u.
final energy = -67.840 eV per cell

Record 3
Here is KTc3Pd after structural relaxation from Alexandria. Energies are from PBE-GGA.

extended XYZ file:
```
5
Lattice="5.0103 0.0000 0.0000 0.0000 5.0103 0.0000 0.0000 0.0000 5.0103" Properties=species:S:1:pos:R:3 pbc="T T T"
K 0.0000 0.0000 0.0000
Tc 0.0000 2.5051 2.5051
Tc 2.5051 0.0000 2.5051
Tc 2.5051 2.5051 0.0000
Pd 2.5051 2.5051 2.5051
```

total magnetic moment = 9.1 μB/f.u.
final energy = -27.311 eV per cell

Record 4
Here is MgTe2W after structural relaxation from Alexandria. Energies are from PBE-GGA.

extended XYZ file:
```
12
Lattice="3.4597 0.0000 0.0000 -1.7298 2.9962 0.0000 0.0000 0.0000 29.9924" Properties=species:S:1:pos:R:3 pbc="T T T"
Mg 0.0000 0.0000 0.0000
Mg 0.0000 1.9974 19.9949
Mg 1.7298 0.9987 9.9974
Te 0.0000 0.0000 3.1116
Te 0.0000 0.0000 26.8808
Te 0.0000 1.9974 16.8833
Te 0.0000 1.9974 23.1065
Te 1.7298 0.9987 6.8859
Te 1.7298 0.9987 13.1091
W 0.0000 0.0000 14.9962
W 0.0000 1.9974 4.9987
W 1.7298 0.9987 24.9936
```

total magnetic moment = 0.0 μB/f.u.
raw formation energy = 0.61 eV per formula unit

Record 5
Here is Zn3GaPd after structural relaxation from Alexandria. Energies are from PBE-GGA.

extended XYZ file:
```
5
Lattice="4.6178 0.0000 0.0000 0.0000 4.6178 0.0000 0.0000 0.0000 4.6178" Properties=species:S:1:pos:R:3 pbc="T T T"
Zn 0.0000 0.0000 2.3089
Zn 0.0000 2.3089 0.0000
Zn 2.3089 0.0000 0.0000
Ga 0.0000 0.0000 0.0000
Pd 2.3089 2.3089 2.3089
```

total magnetic moment = 0.0 μB/f.u.
final energy = -9.651 eV per cell

Record 6
Here is Mn2SnHPd after structural relaxation from Alexandria. Energies are from PBE-GGA.

extended XYZ file:
```
5
Lattice="3.9450 0.0000 0.0000 0.0000 3.9450 0.0000 0.0000 0.0000 4.0790" Properties=species:S:1:pos:R:3 pbc="T T T"
Mn 0.0000 1.9725 0.0000
Mn 1.9725 0.0000 0.0000
Sn 0.0000 0.0000 2.0395
H 1.9725 1.9725 0.0000
Pd 1.9725 1.9725 2.0395
```

total magnetic moment = 5.6 μB/f.u.
final energy = -31.373 eV per cell

Record 7
Here is CuTc2Mo after structural relaxation from Alexandria. Energies are from PBE-GGA.

extended XYZ file:
```
4
Lattice="2.6197 0.0000 0.0000 0.0000 4.3665 0.0000 -0.8075 0.0000 5.0701" Properties=species:S:1:pos:R:3 pbc="T T T"
Cu 0.0000 0.0000 0.0000
Tc 0.1283 2.1832 3.8516
Tc 1.6840 2.1832 1.2185
Mo 0.9061 0.0000 2.5351
```

total magnetic moment = 0.0 μB/f.u.
final energy = -34.842 eV per cell

Record 8
Here is Ba2LaBr after structural relaxation from Alexandria. Energies are from PBE-GGA.

extended XYZ file:
```
16
Lattice="8.8608 0.0000 0.0000 0.0000 8.8608 0.0000 0.0000 0.0000 8.8608" Properties=species:S:1:pos:R:3 pbc="T T T"
Ba 0.0000 0.0000 0.0000
Ba 0.0000 4.4304 4.4304
Ba 2.2152 2.2152 2.2152
Ba 2.2152 6.6456 6.6456
Ba 4.4304 0.0000 4.4304
Ba 4.4304 4.4304 0.0000
Ba 6.6456 2.2152 6.6456
Ba 6.6456 6.6456 2.2152
La 2.2152 2.2152 6.6456
La 2.2152 6.6456 2.2152
La 6.6456 2.2152 2.2152
La 6.6456 6.6456 6.6456
Br 0.0000 0.0000 4.4304
Br 0.0000 4.4304 0.0000
Br 4.4304 0.0000 0.0000
Br 4.4304 4.4304 4.4304
```

total magnetic moment = 1.1 μB/f.u.
raw formation energy = -0.13 eV per formula unit

Record 9
Here is Mn2TlAuBr8 after structural relaxation from Alexandria. Energies are from PBE-GGA.

extended XYZ file:
```
12
Lattice="6.9069 0.0000 0.0000 -3.4534 5.9815 0.0000 0.0000 0.0000 9.5101" Properties=species:S:1:pos:R:3 pbc="T T T"
Mn 0.0000 3.9877 2.3180
Mn 3.4534 1.9938 7.1921
Tl 0.0000 0.0000 4.7551
Au 0.0000 0.0000 0.0000
Br -1.0564 1.8899 1.6670
Br -1.2885 5.9514 1.6670
Br 1.1085 1.8598 7.8431
Br 0.0000 3.9877 4.6990
Br 3.4534 1.9938 4.8111
Br 2.3449 4.1217 1.6670
Br 4.7419 0.0301 7.8431
Br 4.5098 4.0916 7.8431
```

total magnetic moment = 8.0 μB/f.u.
raw formation energy = -6.37 eV per formula unit

Record 10
Here is KGaGe2 after structural relaxation from Alexandria. Energies are from PBE-GGA.

extended XYZ file:
```
8
Lattice="4.9992 0.0000 0.0000 0.0000 6.3489 0.0000 0.0000 0.0000 7.9216" Properties=species:S:1:pos:R:3 pbc="T T T"
K 0.0000 0.0000 0.0000
K 0.0000 3.1744 3.9608
Ga 2.4996 0.0000 3.2529
Ga 2.4996 3.1744 7.2137
Ge 2.4996 1.1998 5.5847
Ge 2.4996 1.9746 1.6239
Ge 2.4996 4.3743 1.6239
Ge 2.4996 5.1491 5.5847
```

total magnetic moment = 0.0 μB/f.u.
final energy = -25.696 eV per cell

Record 11
Here is InAsPt after structural relaxation from Alexandria. Energies are from PBE-GGA.

extended XYZ file:
```
6
Lattice="3.1961 0.0000 0.0000 0.0000 3.1961 0.0000 0.0000 0.0000 12.3008" Properties=species:S:1:pos:R:3 pbc="T T T"
In 0.0000 0.0000 0.0000
In 1.5981 1.5981 6.1504
As 0.0000 0.0000 8.9178
As 1.5981 1.5981 2.7674
Pt 0.0000 0.0000 4.0511
Pt 1.5981 1.5981 10.2015
```

total magnetic moment = 0.0 μB/f.u.
final energy = -27.495 eV per cell

Record 12
Here is Pm2HfPt after structural relaxation from Alexandria. Energies are from PBE-GGA.

extended XYZ file:
```
12
Lattice="3.3010 0.0000 0.0000 -1.6505 2.8588 0.0000 0.0000 0.0000 32.9092" Properties=species:S:1:pos:R:3 pbc="T T T"
Pm 0.0000 0.0000 2.7322
Pm 0.0000 0.0000 30.1771
Pm 0.0000 1.9058 19.2073
Pm 0.0000 1.9058 24.6716
Pm 1.6505 0.9529 8.2376
Pm 1.6505 0.9529 13.7019
Hf 0.0000 0.0000 16.4546
Hf 0.0000 1.9058 5.4849
Hf 1.6505 0.9529 27.4243
Pt 0.0000 0.0000 0.0000
Pt 0.0000 1.9058 21.9395
Pt 1.6505 0.9529 10.9697
```

total magnetic moment = 0.0 μB/f.u.
final energy = -74.160 eV per cell

Copy entry 8 word for word.
Here is Ba2LaBr after structural relaxation from Alexandria. Energies are from PBE-GGA.

extended XYZ file:
```
16
Lattice="8.8608 0.0000 0.0000 0.0000 8.8608 0.0000 0.0000 0.0000 8.8608" Properties=species:S:1:pos:R:3 pbc="T T T"
Ba 0.0000 0.0000 0.0000
Ba 0.0000 4.4304 4.4304
Ba 2.2152 2.2152 2.2152
Ba 2.2152 6.6456 6.6456
Ba 4.4304 0.0000 4.4304
Ba 4.4304 4.4304 0.0000
Ba 6.6456 2.2152 6.6456
Ba 6.6456 6.6456 2.2152
La 2.2152 2.2152 6.6456
La 2.2152 6.6456 2.2152
La 6.6456 2.2152 2.2152
La 6.6456 6.6456 6.6456
Br 0.0000 0.0000 4.4304
Br 0.0000 4.4304 0.0000
Br 4.4304 0.0000 0.0000
Br 4.4304 4.4304 4.4304
```

total magnetic moment = 1.1 μB/f.u.
raw formation energy = -0.13 eV per formula unit

Please write out number 1 again, unchanged.
Here is Sc2Mn5BeB2 after structural relaxation from Alexandria. Energies are from PBE-GGA.

extended XYZ file:
```
20
Lattice="8.8509 0.0000 0.0000 0.0000 8.8509 0.0000 0.0000 0.0000 2.9809" Properties=species:S:1:pos:R:3 pbc="T T T"
Sc 1.5256 2.8999 0.0000
Sc 2.8999 7.3253 0.0000
Sc 5.9510 1.5256 0.0000
Sc 7.3253 5.9510 0.0000
Mn 0.0000 4.4254 1.4905
Mn 0.5933 7.0044 1.4905
Mn 1.8464 0.5933 1.4905
Mn 2.5790 5.0188 1.4905
Mn 3.8321 2.5790 1.4905
Mn 4.4254 0.0000 1.4905
Mn 5.0188 6.2719 1.4905
Mn 6.2719 3.8321 1.4905
Mn 7.0044 8.2575 1.4905
Mn 8.2575 1.8464 1.4905
Be 0.0000 0.0000 0.0000
Be 4.4254 4.4254 0.0000
B 1.0879 5.5134 0.0000
B 3.3375 1.0879 0.0000
B 5.5134 7.7629 0.0000
B 7.7629 3.3375 0.0000
```

total magnetic moment = 9.4 μB/f.u.
final energy = -155.691 eV per cell

Question: What is the formula in the second record?
Answer: CrCu2